(1)
This record from Alexandria describes a relaxed structure of Sr3Li. The functional is PBE.

a b c (Å): 8.141 8.141 6.601
angles (deg): 90.00 90.00 120.00
Element x y z (fractional)
Sr: 0.169 0.339 0.250
Sr: 0.169 0.831 0.250
Sr: 0.339 0.169 0.750
Sr: 0.661 0.831 0.250
Sr: 0.831 0.169 0.750
Sr: 0.831 0.661 0.750
Li: 0.333 0.667 0.750
Li: 0.667 0.333 0.250

Values from the calculation:
**Offset from the most stable computed form**: 37.5 meV per atom
**Raw total energy**: -1.6623 eV per atom
**Calculated density**: 2.4 g/cm³
**Symmetry**: P6_3/mmc
**Magnetic moment**: 0.0000 μB per atom



(2)
This record from Alexandria describes a relaxed structure of Pm6SnSe5. The functional is PBE.

a b c (Å): 7.360 7.360 7.387
angles (deg): 99.56 99.56 119.97
Element x y z (fractional)
Pm: 0.077 0.415 0.745
Pm: 0.245 0.245 0.252
Pm: 0.415 0.077 0.745
Pm: 0.585 0.923 0.255
Pm: 0.755 0.755 0.748
Pm: 0.923 0.585 0.255
Sn: 0.500 0.500 0.000
Se: 0.000 0.000 0.500
Se: 0.168 0.832 0.000
Se: 0.336 0.664 0.500
Se: 0.664 0.336 0.500
Se: 0.832 0.168 0.000

Values from the calculation:
**Raw total energy**: -5.8271 eV per atom
**Calculated density**: 7.0 g/cm³
**Symmetry**: C2/m
**Magnetic moment**: 0.0000 μB per atom
**ΔE_f (raw)**: -1.67 eV per atom



(3)
This record from Alexandria describes a relaxed structure of LaBeGe3. The functional is PBE.

a b c (Å): 12.667 12.667 12.667
angles (deg): 158.68 158.68 30.34
Element x y z (fractional)
La: 0.089 0.089 0.000
La: 0.911 0.911 0.000
Be: 0.500 0.500 0.000
Be: 0.750 0.250 0.500
Ge: 0.003 0.503 0.500
Ge: 0.083 0.331 0.752
Ge: 0.497 0.997 0.500
Ge: 0.579 0.331 0.248
Ge: 0.669 0.421 0.752
Ge: 0.669 0.917 0.248

Values from the calculation:
**Offset from the most stable computed form**: 466.4 meV per atom
**Raw total energy**: -4.3582 eV per atom
**Calculated density**: 4.5 g/cm³
**Symmetry**: I-4m2
**Magnetic moment**: 0.0000 μB per atom



(4)
This record from Alexandria describes a relaxed structure of Pr8Os3PdBr4. The functional is PBE.

a b c (Å): 9.253 9.253 9.253
angles (deg): 53.61 53.61 53.61
Element x y z (fractional)
Pr: 0.219 0.739 0.739
Pr: 0.233 0.233 0.233
Pr: 0.261 0.261 0.781
Pr: 0.261 0.781 0.261
Pr: 0.739 0.219 0.739
Pr: 0.739 0.739 0.219
Pr: 0.767 0.767 0.767
Pr: 0.781 0.261 0.261
Os: 0.000 0.000 0.500
Os: 0.000 0.500 0.000
Os: 0.500 0.000 0.000
Pd: 0.500 0.500 0.500
Br: 0.000 0.000 0.000
Br: 0.000 0.500 0.500
Br: 0.500 0.000 0.500
Br: 0.500 0.500 0.000

Values from the calculation:
**Raw total energy**: -6.0035 eV per atom
**Calculated density**: 7.4 g/cm³
**Symmetry**: R-3m
**Magnetic moment**: 0.0000 μB per atom
**ΔE_f (raw)**: -0.77 eV per atom



(5)
This record from Alexandria describes a relaxed structure of Th2CdOs. The functional is PBE.

a b c (Å): 8.191 8.191 8.191
angles (deg): 29.73 29.73 29.73
Element x y z (fractional)
Th: 0.000 0.000 0.000
Th: 0.207 0.207 0.207
Cd: 0.771 0.771 0.771
Os: 0.605 0.605 0.605

Values from the calculation:
**Offset from the most stable computed form**: 2.3 meV per atom
**Raw total energy**: -6.9519 eV per atom
**Calculated density**: 10.6 g/cm³
**Symmetry**: R3m
**Magnetic moment**: 0.0000 μB per atom



(6)
This record from Alexandria describes a relaxed structure of Sr3Sm2YTe6. The functional is PBE.

a b c (Å): 7.826 7.826 8.028
angles (deg): 99.37 99.37 119.93
Element x y z (fractional)
Sr: 0.000 0.000 0.000
Sr: 0.332 0.668 0.000
Sr: 0.668 0.332 0.000
Sm: 0.166 0.834 0.500
Sm: 0.834 0.166 0.500
Y: 0.500 0.500 0.500
Te: 0.093 0.422 0.265
Te: 0.250 0.250 0.737
Te: 0.422 0.093 0.265
Te: 0.578 0.907 0.735
Te: 0.750 0.750 0.263
Te: 0.907 0.578 0.735

Values from the calculation:
**Raw total energy**: -4.8430 eV per atom
**Calculated density**: 5.8 g/cm³
**Symmetry**: C2/m
**Magnetic moment**: 0.0000 μB per atom
**ΔE_f (raw)**: -1.53 eV per atom



(7)
This record from Alexandria describes a relaxed structure of Tb3Pm2YHo6. The functional is PBE.

a b c (Å): 6.163 6.163 11.781
angles (deg): 94.98 94.98 119.96
Element x y z (fractional)
Tb: 0.000 0.000 0.000
Tb: 0.333 0.667 0.000
Tb: 0.667 0.333 0.000
Pm: 0.167 0.833 0.500
Pm: 0.833 0.167 0.500
Y: 0.500 0.500 0.500
Ho: 0.082 0.415 0.248
Ho: 0.251 0.251 0.752
Ho: 0.415 0.082 0.248
Ho: 0.585 0.918 0.752
Ho: 0.749 0.749 0.248
Ho: 0.918 0.585 0.752

Values from the calculation:
**Raw total energy**: -4.7603 eV per atom
**Calculated density**: 8.0 g/cm³
**Symmetry**: C2/m
**Magnetic moment**: 0.0000 μB per atom



(8)
This record from Alexandria describes a relaxed structure of TlFeAs. The functional is PBE.

a b c (Å): 4.386 4.386 4.386
angles (deg): 60.00 60.00 60.00
Element x y z (fractional)
Tl: 0.000 0.000 0.000
Fe: 0.750 0.750 0.750
As: 0.500 0.500 0.500

Values from the calculation:
**Offset from the most stable computed form**: 479.7 meV per atom
**Raw total energy**: -4.7285 eV per atom
**Calculated density**: 9.3 g/cm³
**Symmetry**: F-43m
**Magnetic moment**: 0.6390 μB per atom



(9)
This record from Alexandria describes a relaxed structure of KLaTe3. The functional is PBE.

a b c (Å): 6.219 6.219 6.219
angles (deg): 90.00 90.00 90.00
Element x y z (fractional)
K: 0.000 0.000 0.000
La: 0.500 0.500 0.500
Te: 0.000 0.500 0.500
Te: 0.500 0.000 0.500
Te: 0.500 0.500 0.000

Values from the calculation:
**Offset from the most stable computed form**: 0.0 meV per atom
**Raw total energy**: -3.8821 eV per atom
**Calculated density**: 3.9 g/cm³
**Symmetry**: Pm-3m
**Magnetic moment**: 0.0000 μB per atom
**ΔE_f (raw)**: -0.79 eV per atom



(10)
This record from Alexandria describes a relaxed structure of La6Tl2Au. The functional is PBE.

a b c (Å): 8.643 8.643 4.553
angles (deg): 90.00 90.00 120.00
Element x y z (fractional)
La: 0.000 0.411 0.000
La: 0.000 0.750 0.500
La: 0.250 0.250 0.500
La: 0.411 0.000 0.000
La: 0.589 0.589 0.000
La: 0.750 0.000 0.500
Tl: 0.333 0.667 0.500
Tl: 0.667 0.333 0.500
Au: 0.000 0.000 0.000

Values from the calculation:
**Offset from the most stable computed form**: 0.0 meV per atom
**Raw total energy**: -4.5527 eV per atom
**Calculated density**: 8.1 g/cm³
**Symmetry**: P-62m
**Magnetic moment**: 0.0000 μB per atom



(11)
This record from Alexandria describes a relaxed structure of ZrBrN2. The functional is PBE.

a b c (Å): 6.602 6.602 6.602
angles (deg): 29.86 29.86 29.86
Element x y z (fractional)
Zr: 0.000 0.000 0.000
Br: 0.500 0.500 0.500
N: 0.390 0.390 0.390
N: 0.610 0.610 0.610

Values from the calculation:
**Offset from the most stable computed form**: 0.0 meV per atom
**Raw total energy**: -6.9244 eV per atom
**Calculated density**: 5.2 g/cm³
**Symmetry**: R-3m
**Magnetic moment**: 0.0000 μB per atom
**ΔE_f (raw)**: -0.21 eV per atom



(12)
This record from Alexandria describes a relaxed structure of Ac5CeIn6. The functional is PBE.

a b c (Å): 9.713 9.713 5.944
angles (deg): 99.62 99.62 46.67
Element x y z (fractional)
Ac: 0.000 0.000 0.000
Ac: 0.162 0.162 0.671
Ac: 0.325 0.325 0.306
Ac: 0.675 0.675 0.694
Ac: 0.838 0.838 0.329
Ce: 0.500 0.500 0.000
In: 0.107 0.574 0.818
In: 0.278 0.722 0.500
In: 0.426 0.893 0.182
In: 0.574 0.107 0.818
In: 0.722 0.278 0.500
In: 0.893 0.426 0.182

Values from the calculation:
**Raw total energy**: -3.9677 eV per atom
**Calculated density**: 8.1 g/cm³
**Symmetry**: C2/m
**Magnetic moment**: 0.0926 μB per atom



(13)
This record from Alexandria describes a relaxed structure of MgTiOsO6. The functional is PBE.

a b c (Å): 5.061 5.061 9.119
angles (deg): 90.00 90.00 120.00
Element x y z (fractional)
Mg: 0.000 0.000 0.000
Mg: 0.000 0.000 0.500
Ti: 0.333 0.667 0.250
Ti: 0.667 0.333 0.750
Os: 0.333 0.667 0.750
Os: 0.667 0.333 0.250
O: 0.005 0.352 0.634
O: 0.005 0.653 0.866
O: 0.347 0.352 0.866
O: 0.347 0.995 0.634
O: 0.352 0.005 0.134
O: 0.352 0.347 0.366
O: 0.648 0.653 0.634
O: 0.648 0.995 0.866
O: 0.653 0.005 0.366
O: 0.653 0.648 0.134
O: 0.995 0.347 0.134
O: 0.995 0.648 0.366

Values from the calculation:
**Raw total energy**: -7.5819 eV per atom
**Calculated density**: 5.9 g/cm³
**Symmetry**: P-31c
**Magnetic moment**: 0.2242 μB per atom
**ΔE_f (raw)**: -1.97 eV per atom



(14)
This record from Alexandria describes a relaxed structure of Sr2Tl3Bi2. The functional is PBE.

a b c (Å): 12.160 12.160 4.719
angles (deg): 90.00 90.00 158.84
Element x y z (fractional)
Sr: 0.157 0.843 0.000
Sr: 0.843 0.157 0.000
Tl: 0.000 0.000 0.000
Tl: 0.435 0.565 0.500
Tl: 0.565 0.435 0.500
Bi: 0.300 0.700 0.500
Bi: 0.700 0.300 0.500

Values from the calculation:
**Raw total energy**: -2.9390 eV per atom
**Calculated density**: 8.0 g/cm³
**Symmetry**: Cmmm
**Magnetic moment**: 0.0000 μB per atom



(15)
This record from Alexandria describes a relaxed structure of BaMn2. The functional is PBE.

a b c (Å): 6.701 6.701 6.701
angles (deg): 134.60 134.60 66.15
Element x y z (fractional)
Ba: 0.250 0.250 0.000
Ba: 0.750 0.750 0.000
Mn: 0.174 0.674 0.848
Mn: 0.326 0.174 0.500
Mn: 0.674 0.826 0.500
Mn: 0.826 0.326 0.152

Values from the calculation:
**Raw total energy**: -6.0714 eV per atom
**Calculated density**: 5.5 g/cm³
**Symmetry**: I4/mcm
**Magnetic moment**: 2.1338 μB per atom



(16)
This record from Alexandria describes a relaxed structure of NbZn3W. The functional is PBE.

a b c (Å): 4.714 4.714 4.714
angles (deg): 90.00 90.00 90.00
Element x y z (fractional)
Nb: 0.000 0.000 0.000
Zn: 0.000 0.500 0.500
Zn: 0.500 0.000 0.500
Zn: 0.500 0.500 0.000
W: 0.500 0.500 0.500

Values from the calculation:
**Offset from the most stable computed form**: 0.0 meV per atom
**Raw total energy**: -3.8866 eV per atom
**Calculated density**: 7.5 g/cm³
**Symmetry**: Pm-3m
**Magnetic moment**: 0.0000 μB per atom



(17)
This record from Alexandria describes a relaxed structure of K2Cl. The functional is PBE.

a b c (Å): 4.446 4.446 15.928
angles (deg): 90.00 90.00 120.00
Element x y z (fractional)
K: 0.333 0.667 0.127
K: 0.333 0.667 0.373
K: 0.667 0.333 0.627
K: 0.667 0.333 0.873
Cl: 0.000 0.000 0.250
Cl: 0.000 0.000 0.750

Values from the calculation:
**Offset from the most stable computed form**: 18.1 meV per atom
**Raw total energy**: -2.5728 eV per atom
**Calculated density**: 1.4 g/cm³
**Symmetry**: P6_3/mmc
**Magnetic moment**: 0.0000 μB per atom
**ΔE_f (raw)**: -1.23 eV per atom



(18)
This record from Alexandria describes a relaxed structure of Rb2BeSF6. The functional is PBE.

a b c (Å): 6.054 6.054 6.054
angles (deg): 118.51 118.51 92.60
Element x y z (fractional)
Rb: 0.250 0.750 0.500
Rb: 0.750 0.250 0.500
Be: 0.000 0.000 0.000
S: 0.500 0.500 0.000
F: 0.191 0.191 0.381
F: 0.191 0.809 0.000
F: 0.288 0.288 0.000
F: 0.712 0.712 0.000
F: 0.809 0.191 0.000
F: 0.809 0.809 0.619

Values from the calculation:
**Raw total energy**: -4.3027 eV per atom
**Calculated density**: 3.4 g/cm³
**Symmetry**: I4/mmm
**Magnetic moment**: 0.2000 μB per atom
**ΔE_f (raw)**: -2.20 eV per atom



(19)
This record from Alexandria describes a relaxed structure of Be3VW. The functional is PBE.

a b c (Å): 4.243 4.243 4.243
angles (deg): 90.00 90.00 90.00
Element x y z (fractional)
Be: 0.000 0.000 0.500
Be: 0.000 0.500 0.000
Be: 0.500 0.000 0.000
V: 0.500 0.500 0.500
W: 0.000 0.000 0.000

Values from the calculation:
**Offset from the most stable computed form**: 52.7 meV per atom
**Raw total energy**: -5.2274 eV per atom
**Calculated density**: 5.7 g/cm³
**Symmetry**: Pm-3m
**Magnetic moment**: 0.4295 μB per atom



(20)
This record from Alexandria describes a relaxed structure of Sr3YMo. The functional is PBE.

a b c (Å): 5.933 5.933 5.933
angles (deg): 90.00 90.00 90.00
Element x y z (fractional)
Sr: 0.000 0.000 0.500
Sr: 0.000 0.500 0.000
Sr: 0.500 0.000 0.000
Y: 0.500 0.500 0.500
Mo: 0.000 0.000 0.000

Values from the calculation:
**Raw total energy**: -3.5455 eV per atom
**Calculated density**: 3.6 g/cm³
**Symmetry**: Pm-3m
**Magnetic moment**: 0.5023 μB per atom



(21)
This record from Alexandria describes a relaxed structure of Y2Ho3S8. The functional is PBE.

a b c (Å): 7.882 7.882 6.671
angles (deg): 107.23 107.23 60.09
Element x y z (fractional)
Y: 0.238 0.238 0.158
Y: 0.762 0.762 0.842
Ho: 0.237 0.763 0.500
Ho: 0.500 0.500 0.000
Ho: 0.763 0.237 0.500
S: 0.119 0.119 0.412
S: 0.142 0.611 0.086
S: 0.384 0.384 0.573
S: 0.389 0.858 0.914
S: 0.611 0.142 0.086
S: 0.616 0.616 0.427
S: 0.858 0.389 0.914
S: 0.881 0.881 0.588

Values from the calculation:
**Raw total energy**: -6.4769 eV per atom
**Calculated density**: 4.6 g/cm³
**Symmetry**: C2/m
**Magnetic moment**: 0.0000 μB per atom
**ΔE_f (raw)**: -1.89 eV per atom



(22)
This record from Alexandria describes a relaxed structure of Y2CoNiC. The functional is PBE.

a b c (Å): 4.932 4.932 3.612
angles (deg): 90.00 90.00 90.00
Element x y z (fractional)
Y: 0.000 0.500 0.000
Y: 0.500 0.000 0.000
Co: 0.000 0.000 0.500
Ni: 0.500 0.500 0.500
C: 0.500 0.500 0.000

Values from the calculation:
**Offset from the most stable computed form**: 148.8 meV per atom
**Raw total energy**: -7.1663 eV per atom
**Calculated density**: 5.8 g/cm³
**Symmetry**: P4/mmm
**Magnetic moment**: 0.2335 μB per atom



(23)
This record from Alexandria describes a relaxed structure of Ce3Th4O14. The functional is PBE.

a b c (Å): 6.801 6.801 8.787
angles (deg): 97.39 97.39 48.22
Element x y z (fractional)
Ce: 0.000 0.000 0.000
Ce: 0.429 0.429 0.285
Ce: 0.571 0.571 0.715
Th: 0.142 0.142 0.428
Th: 0.286 0.286 0.858
Th: 0.714 0.714 0.142
Th: 0.858 0.858 0.572
O: 0.039 0.535 0.356
O: 0.108 0.609 0.072
O: 0.181 0.681 0.787
O: 0.255 0.745 0.500
O: 0.319 0.819 0.213
O: 0.391 0.892 0.928
O: 0.465 0.961 0.644
O: 0.535 0.039 0.356
O: 0.609 0.108 0.072
O: 0.681 0.181 0.787
O: 0.745 0.255 0.500
O: 0.819 0.319 0.213
O: 0.892 0.391 0.928
O: 0.961 0.465 0.644

Values from the calculation:
**Raw total energy**: -9.2726 eV per atom
**Calculated density**: 8.7 g/cm³
**Symmetry**: C2/m
**Magnetic moment**: 0.0000 μB per atom
**ΔE_f (raw)**: -3.71 eV per atom